(1)
# CoMoOs2 (GGA-PBE, optimized geometry)
data_CoMoOs2
_chemical_formula_sum 'Co2 Mo2 Os4'
_cell_length_a 2.860
_cell_length_b 4.485
_cell_length_c 8.926
_cell_angle_alpha 90.00
_cell_angle_beta 90.00
_cell_angle_gamma 90.00
_symmetry_space_group_name_H-M 'C m m 2'
_symmetry_Int_Tables_number 35
loop_
_symmetry_equiv_pos_as_xyz
'x,y,z'
'-x,-y,z'
'-x,y,z'
'x,-y,z'
'x+1/2,y+1/2,z'
'-x+1/2,-y+1/2,z'
'-x+1/2,y+1/2,z'
'x+1/2,-y+1/2,z'
loop_
_atom_site_label
_atom_site_type_symbol
_atom_site_fract_x
_atom_site_fract_y
_atom_site_fract_z
Co1 Co 0.000 0.000 0.000
Mo1 Mo 0.000 0.500 0.757
Os1 Os 0.000 0.000 0.500
Os2 Os 0.000 0.500 0.240
# Calculated formation energy, eV/atom: 0.490
# Crystal system: orthorhombic
# Excess energy over the best structure of this formula in the dataset, kcal/mol of atoms: 10.612
# Total magnetic moment, μB per atom: 0.580

=====

(2)
# RbS2Cl8 (GGA-PBE, optimized geometry)
data_RbS2Cl8
_chemical_formula_sum 'Rb2 S4 Cl16'
_cell_length_a 9.823
_cell_length_b 8.883
_cell_length_c 9.549
_cell_angle_alpha 90.00
_cell_angle_beta 114.51
_cell_angle_gamma 90.00
_symmetry_space_group_name_H-M 'C 1 2/m 1'
_symmetry_Int_Tables_number 12
loop_
_symmetry_equiv_pos_as_xyz
'x,y,z'
'-x,-y,-z'
'-x,y,-z'
'x,-y,z'
'x+1/2,y+1/2,z'
'-x+1/2,-y+1/2,-z'
'-x+1/2,y+1/2,-z'
'x+1/2,-y+1/2,z'
loop_
_atom_site_label
_atom_site_type_symbol
_atom_site_fract_x
_atom_site_fract_y
_atom_site_fract_z
Rb1 Rb 0.000 0.000 0.000
S1 S 0.209 0.000 0.672
Cl1 Cl 0.074 0.500 0.289
Cl2 Cl 0.123 0.000 0.407
Cl3 Cl 0.228 0.188 0.864
# Crystal system: monoclinic
# Total magnetic moment, μB per atom: 0.000
# Energy, eV/atom: -2.546

=====

(3)
# La3InPb (GGA-PBE, optimized geometry)
data_La3InPb
_chemical_formula_sum 'La3 In1 Pb1'
_cell_length_a 5.965
_cell_length_b 5.965
_cell_length_c 5.965
_cell_angle_alpha 90.00
_cell_angle_beta 90.00
_cell_angle_gamma 90.00
_symmetry_space_group_name_H-M 'P m -3 m'
_symmetry_Int_Tables_number 221
_symmetry_space_group_name_Hall '-P 4 2 3'
loop_
_atom_site_label
_atom_site_type_symbol
_atom_site_fract_x
_atom_site_fract_y
_atom_site_fract_z
La1 La 0.000 0.000 0.500
In1 In 0.000 0.000 0.000
Pb1 Pb 0.500 0.500 0.500
# Calculated formation energy, eV/atom: 0.063
# Crystal system: cubic
# Excess energy over the best structure of this formula in the dataset, kcal/mol of atoms: 0.000
# Total magnetic moment, μB per atom: 0.000

=====

Number 1: calculated density 15527 kg/m³. Number 2: calculated density 1897 kg/m³. Number 3: calculated density 5781 kg/m³.